DFT (PBE with a Hubbard U) results for a relaxed structure of CrTcPO2.

## Properties
For the total energy, the calculation gives -7.29 eV per atom. As for the energy above the most stable polymorph in this dataset: 0 meV/atom. The calculation puts the calculated volume at 14.91 A^3/atom. The total moment comes out at 4.140 Bohr magnetons per cell. The symmetry is P4/mmm. The density comes out at 4.74 g/cm3.

```
CrTcPO2
1.0
3.748 0.000 0.000
0.000 3.748 0.000
0.000 0.000 5.305
Cr Tc O P
1 1 2 1
Cartesian
1.874 1.874 2.653
0.000 0.000 0.000
0.000 1.874 0.000
1.874 0.000 0.000
0.000 0.000 2.653
```